# 1
Computed, not measured: crystalline HfCoB3 at its relaxed geometry at the PBE level of DFT.

Summary:
Symmetry: Pm-3m (221)
Energy above the lowest structure with this stoichiometry (eV per atom): 2.751

Cell lengths 4.298, 4.298, 4.298 Å; angles 90.00, 90.00, 90.00 degrees
Fractional coordinates of all 5 atoms:
Hf 0.000 0.000 0.000
Co 0.500 0.500 0.500
B 0.000 0.000 0.500
B 0.000 0.500 0.000
B 0.500 0.000 0.000



# 2
Computed, not measured: crystalline Ba3CoP at its relaxed geometry at the PBE level of DFT.

Summary:
Symmetry: Pm-3m (221)
Energy above the lowest structure with this stoichiometry (eV per atom): 0.000

Cell lengths 5.555, 5.555, 5.555 Å; angles 90.00, 90.00, 90.00 degrees
Fractional coordinates of all 5 atoms:
Ba 0.000 0.000 0.500
Ba 0.000 0.500 0.000
Ba 0.500 0.000 0.000
Co 0.000 0.000 0.000
P 0.500 0.500 0.500



# 3
Computed, not measured: crystalline Ni2HgRuC at its relaxed geometry at the PBE level of DFT.

Summary:
Symmetry: P4/mmm (123)

Cell lengths 3.950, 3.950, 4.010 Å; angles 90.00, 90.00, 90.00 degrees
Fractional coordinates of all 5 atoms:
Ni 0.000 0.500 0.000
Ni 0.500 0.000 0.000
Hg 0.000 0.000 0.500
Ru 0.500 0.500 0.500
C 0.500 0.500 0.000



The following total energy values (in eV/cell) correspond, in order, to the records above: -26.8 -18.2 -29.4.
The following energy of formation values (in eV/atom) correspond, in order, to the records above: 2.059 0.018 0.187.